Entry 1:
CsTlVSe4 PBE relaxed; electronic total energy = -61.89 eV/cell; ΔE_f (raw) = -0.667 eV/atom
1.0
6.4102 0.0000 0.0000
0.0000 7.6257 0.0000
-3.0996 0.0000 9.6568
Cs Tl V Se
2 2 2 8
Direct
0.2174 0.2500 0.3922
0.7826 0.7500 0.6078
0.3515 0.7500 0.0011
0.6485 0.2500 0.9989
0.1433 0.2500 0.7898
0.8567 0.7500 0.2102
0.1009 0.2500 0.0057
0.1806 0.7500 0.3763
0.3491 0.0045 0.7706
0.3491 0.4955 0.7706
0.6509 0.5045 0.2294
0.6509 0.9955 0.2294
0.8194 0.2500 0.6237
0.8991 0.7500 0.9943


Entry 2:
CsTlVSe3 PBE relaxed; electronic total energy = -54.75 eV/cell; ΔE_f (raw) = -0.763 eV/atom
1.0
3.8451 -7.6548 0.0000
3.8451 7.6548 0.0000
0.0000 0.0000 7.0892
Cs Tl V Se
2 2 2 6
Direct
0.2199 0.7801 0.7500
0.7801 0.2199 0.2500
0.4131 0.5869 0.2500
0.5869 0.4131 0.7500
0.0517 0.9483 0.2500
0.9483 0.0517 0.7500
0.2019 0.7981 0.2500
0.2074 0.2074 0.0000
0.2074 0.2074 0.5000
0.7926 0.7926 0.0000
0.7926 0.7926 0.5000
0.7981 0.2019 0.7500


Entry 3:
Cs2TlWSe4 PBE relaxed; electronic total energy = -72.33 eV/cell; ΔE_f (raw) = -0.650 eV/atom
1.0
0.0000 6.9514 12.7596
3.7880 0.0000 12.7596
3.7880 6.9514 0.0000
Cs Tl W Se
4 2 2 8
Direct
0.0562 0.0562 0.6938
0.3062 0.3062 0.9438
0.6938 0.6938 0.0562
0.9438 0.9438 0.3062
0.1250 0.1250 0.1250
0.8750 0.8750 0.8750
0.3750 0.3750 0.3750
0.6250 0.6250 0.6250
0.0353 0.6082 0.5225
0.3339 0.5225 0.6082
0.3918 0.9647 0.6661
0.4775 0.6661 0.9647
0.5225 0.3339 0.0353
0.6082 0.0353 0.3339
0.6661 0.4775 0.3918
0.9647 0.3918 0.4775


Entry 4:
CsTlZnSe2 PBE relaxed; electronic total energy = -28.97 eV/cell; ΔE_f (raw) = -0.605 eV/atom
1.0
6.3457 0.0000 0.0000
0.0000 8.1045 0.0000
0.0000 0.0000 6.1663
Cs Tl Zn Se
2 2 2 4
Direct
0.2500 0.0000 0.2308
0.7500 0.0000 0.7692
0.2500 0.5000 0.0583
0.7500 0.5000 0.9417
0.0000 0.5000 0.5000
0.5000 0.5000 0.5000
0.2500 0.2797 0.6831
0.2500 0.7203 0.6831
0.7500 0.2797 0.3169
0.7500 0.7203 0.3169


Entry 5:
Cs2ZrTlSe4 PBE relaxed; electronic total energy = -69.60 eV/cell; ΔE_f (raw) = -1.030 eV/atom
1.0
0.0000 7.5584 12.7496
3.5449 0.0000 12.7496
3.5449 7.5584 0.0000
Cs Zr Tl Se
4 2 2 8
Direct
0.0564 0.0564 0.6936
0.3064 0.3064 0.9436
0.6936 0.6936 0.0564
0.9436 0.9436 0.3064
0.1250 0.1250 0.1250
0.8750 0.8750 0.8750
0.3750 0.3750 0.3750
0.6250 0.6250 0.6250
0.0667 0.2946 0.3811
0.2424 0.6189 0.7054
0.2946 0.0667 0.7576
0.3811 0.7576 0.0667
0.6189 0.2424 0.9333
0.7054 0.9333 0.2424
0.7576 0.3811 0.2946
0.9333 0.7054 0.6189


Entry 6:
Cs2Zr3TlSe8 PBE relaxed; electronic total energy = -73.33 eV/cell; ΔE_f (raw) = -1.124 eV/atom
1.0
3.9410 2.2754 9.0029
-3.9410 2.2754 9.0029
0.0000 -4.5507 9.0029
Cs Zr Tl Se
2 3 1 8
Direct
0.0000 0.0000 0.0000
0.3467 0.3467 0.3467
0.4923 0.9944 0.9944
0.9944 0.4923 0.9944
0.9944 0.9944 0.4923
0.6143 0.6143 0.6143
0.1934 0.7336 0.7336
0.2186 0.2186 0.2186
0.2695 0.2695 0.7834
0.2695 0.7834 0.2695
0.7336 0.1934 0.7336
0.7336 0.7336 0.1934
0.7699 0.7699 0.7699
0.7834 0.2695 0.2695


Entry 7:
CsTm4Se6 PBE relaxed; electronic total energy = -117.16 eV/cell; ΔE_f (raw) = -1.721 eV/atom
1.0
2.0560 -6.8402 0.0000
2.0560 6.8402 0.0000
0.0000 0.0000 21.9153
Cs Tm Se
2 8 12
Direct
0.1570 0.8430 0.7500
0.8430 0.1570 0.2500
0.0973 0.9027 0.1306
0.0973 0.9027 0.3694
0.3681 0.6319 0.0383
0.3681 0.6319 0.4617
0.6319 0.3681 0.5383
0.6319 0.3681 0.9617
0.9027 0.0973 0.6306
0.9027 0.0973 0.8694
0.0000 0.0000 0.0000
0.0000 0.0000 0.5000
0.1397 0.8603 0.2500
0.2699 0.7301 0.5795
0.2699 0.7301 0.9205
0.4650 0.5350 0.1466
0.4650 0.5350 0.3534
0.5350 0.4650 0.6466
0.5350 0.4650 0.8534
0.7301 0.2699 0.0795
0.7301 0.2699 0.4205
0.8603 0.1397 0.7500


Entry 8:
Cs2Tm3Se6 PBE relaxed; electronic total energy = -54.10 eV/cell; ΔE_f (raw) = -1.643 eV/atom
1.0
3.5505 -6.1499 0.0000
3.5505 6.1499 0.0000
-2.3682 0.0000 8.6461
Cs Tm Se
2 3 6
Direct
0.1666 0.8334 0.0000
0.8334 0.1666 0.0000
0.0000 0.0000 0.5000
0.3331 0.6669 0.5000
0.6669 0.3331 0.5000
0.0618 0.3941 0.6823
0.2736 0.2736 0.3179
0.3941 0.0618 0.6823
0.6059 0.9382 0.3177
0.7264 0.7264 0.6821
0.9382 0.6059 0.3177


Entry 9:
CsTmSe4 PBE relaxed; electronic total energy = -52.28 eV/cell; ΔE_f (raw) = -1.146 eV/atom
1.0
6.2708 0.0000 0.0000
0.0000 6.2708 0.0000
0.0000 0.0000 9.0372
Cs Tm Se
2 2 8
Direct
0.2500 0.2500 0.0000
0.7500 0.7500 0.0000
0.2500 0.2500 0.5000
0.7500 0.7500 0.5000
0.1124 0.6124 0.3130
0.1124 0.8876 0.6870
0.3876 0.6124 0.6870
0.3876 0.8876 0.3130
0.6124 0.1124 0.6870
0.6124 0.3876 0.3130
0.8876 0.1124 0.3130
0.8876 0.3876 0.6870


Entry 10:
Cs3TmSe3 PBE relaxed; electronic total energy = -110.06 eV/cell; ΔE_f (raw) = -1.433 eV/atom
1.0
8.9845 0.0000 0.0000
0.0000 14.9802 0.0000
-6.9786 0.0000 9.2060
Cs Tm Se
12 4 12
Direct
0.1104 0.1239 0.4741
0.1104 0.3761 0.9741
0.1661 0.1077 0.8876
0.1661 0.3923 0.3876
0.3381 0.6765 0.5476
0.3381 0.8235 0.0476
0.6619 0.1765 0.9524
0.6619 0.3235 0.4524
0.8339 0.6077 0.6124
0.8339 0.8923 0.1124
0.8896 0.6239 0.0259
0.8896 0.8761 0.5259
0.4446 0.0641 0.3406
0.4446 0.4359 0.8406
0.5554 0.5641 0.1594
0.5554 0.9359 0.6594
0.1763 0.1875 0.1999
0.1763 0.3125 0.6999
0.3349 0.6001 0.8683
0.3349 0.8999 0.3683
0.3701 0.5442 0.2699
0.3701 0.9558 0.7699
0.6299 0.0442 0.2301
0.6299 0.4558 0.7301
0.6651 0.1001 0.6317
0.6651 0.3999 0.1317
0.8237 0.6875 0.3001
0.8237 0.8125 0.8001


Entry 11:
Cs5TmSe4 PBE relaxed; electronic total energy = -34.30 eV/cell; ΔE_f (raw) = -1.162 eV/atom
1.0
10.6627 -2.3413 0.0000
10.6627 2.3413 0.0000
-2.8978 0.0000 8.8703
Cs Tm Se
5 1 4
Direct
0.0000 0.0000 0.0000
0.3316 0.3316 0.6339
0.3382 0.3382 0.1339
0.6618 0.6618 0.8661
0.6684 0.6684 0.3661
0.0000 0.0000 0.5000
0.1442 0.1442 0.6050
0.4989 0.4989 0.7043
0.5011 0.5011 0.2957
0.8558 0.8558 0.3950


Entry 12:
CsTm5Se8 PBE relaxed; electronic total energy = -76.92 eV/cell; ΔE_f (raw) = -1.845 eV/atom
1.0
10.4836 -2.0471 0.0000
10.4836 2.0471 0.0000
-2.5081 0.0000 9.8003
Cs Tm Se
1 5 8
Direct
0.0000 0.0000 0.0000
0.1565 0.1565 0.4600
0.2041 0.2041 0.8417
0.5001 0.5001 0.4996
0.7961 0.7961 0.1576
0.8438 0.8438 0.5393
0.0779 0.0779 0.6515
0.2681 0.2681 0.3492
0.3320 0.3320 0.0071
0.4173 0.4173 0.6842
0.5830 0.5830 0.3151
0.6681 0.6681 0.9922
0.7322 0.7322 0.6502
0.9224 0.9224 0.3477